Entry 1:
A relaxed Cs3K5Au3 crystal, computed with PBE.

Cell and atoms, written as CIF:
```
data_Cs3K5Au3
_symmetry_space_group_name_H-M 'P -6 2 m'
_symmetry_Int_Tables_number 189
_symmetry_space_group_name_Hall 'P -6 -2'
_cell_length_a 10.4832
_cell_length_b 10.4832
_cell_length_c 7.1678
_cell_angle_alpha 90.00
_cell_angle_beta 90.00
_cell_angle_gamma 120.00
loop_
_atom_site_label
_atom_site_type_symbol
_atom_site_fract_x
_atom_site_fract_y
_atom_site_fract_z
Cs1 Cs 0.0000 0.3550 0.0000
K1 K 0.0000 0.7525 0.5000
K2 K 0.3333 0.6667 0.5000
Au1 Au 0.0000 0.3775 0.5000
```

## Properties
ΔE_f: -159 meV per atom
Total DFT energy (no corrections): -1.78 eV/atom

---

Entry 2:
A relaxed Er6Co2Sn crystal, computed with PBE.

Cell and atoms, written as CIF:
```
data_Er6Co2Sn
_symmetry_space_group_name_H-M 'I m m m'
_symmetry_Int_Tables_number 71
_symmetry_space_group_name_Hall '-I 2 2'
_cell_length_a 9.393
_cell_length_b 9.490
_cell_length_c 9.869
_cell_angle_alpha 90.00
_cell_angle_beta 90.00
_cell_angle_gamma 90.00
loop_
_atom_site_label
_atom_site_type_symbol
_atom_site_fract_x
_atom_site_fract_y
_atom_site_fract_z
Er1 Er 0.000 0.213 0.233
Er2 Er 0.196 0.500 0.184
Er3 Er 0.214 0.315 0.500
Co1 Co 0.000 0.377 0.000
Co2 Co 0.000 0.500 0.388
Sn1 Sn 0.000 0.000 0.000
Sn2 Sn 0.000 0.000 0.500
```

## Properties
ΔE_f: -359 meV per atom
Total DFT energy (no corrections): -5.42 eV/atom

---

Entry 3:
A relaxed As6C7 crystal, computed with PBE.

Cell and atoms, written as CIF:
```
data_As6C7
_symmetry_space_group_name_H-M 'R -3 m'
_symmetry_Int_Tables_number 166
_symmetry_space_group_name_Hall '-R 3 2"'
_cell_length_a 4.6219
_cell_length_b 4.6219
_cell_length_c 34.7519
_cell_angle_alpha 90.00
_cell_angle_beta 90.00
_cell_angle_gamma 120.00
loop_
_atom_site_label
_atom_site_type_symbol
_atom_site_fract_x
_atom_site_fract_y
_atom_site_fract_z
As1 As 0.0000 0.0000 0.0940
As2 As 0.0000 0.0000 0.1673
As3 As 0.0000 0.0000 0.3254
C1 C 0.0000 0.0000 0.5000
C2 C 0.1046 0.2091 0.4339
```

## Properties
ΔE_f: 1883 meV per atom
Total DFT energy (no corrections): -5.23 eV/atom

---

Entry 4:
A relaxed Nd2AlGeAu6 crystal, computed with PBE.

Cell and atoms, written as CIF:
```
data_Nd2AlGeAu6
_symmetry_space_group_name_H-M 'P m m n'
_symmetry_Int_Tables_number 59
_cell_length_a 5.786
_cell_length_b 8.488
_cell_length_c 9.256
_cell_angle_alpha 90.00
_cell_angle_beta 90.00
_cell_angle_gamma 90.00
loop_
_symmetry_equiv_pos_as_xyz
'x,y,z'
'-x,-y,-z'
'-x+1/2,-y+1/2,z'
'x+1/2,y+1/2,-z'
'x+1/2,-y,-z'
'-x+1/2,y,z'
'-x,y+1/2,-z'
'x,-y+1/2,z'
loop_
_atom_site_label
_atom_site_type_symbol
_atom_site_fract_x
_atom_site_fract_y
_atom_site_fract_z
Nd1 Nd 0.250 0.000 0.235
Al1 Al 0.250 0.250 0.762
Ge1 Ge 0.250 0.750 0.787
Au1 Au 0.002 0.250 0.986
Au2 Au 0.005 0.750 0.471
Au3 Au 0.250 0.514 0.621
```

## Properties
ΔE_f: -506 meV per atom
Total DFT energy (no corrections): -4.26 eV/atom

---

Entry 5:
A relaxed Nb3HgN crystal, computed with PBE.

Cell and atoms, written as CIF:
```
data_Nb3HgN
_symmetry_space_group_name_H-M 'P m -3 m'
_symmetry_Int_Tables_number 221
_symmetry_space_group_name_Hall '-P 4 2 3'
_cell_length_a 4.315
_cell_length_b 4.315
_cell_length_c 4.315
_cell_angle_alpha 90.00
_cell_angle_beta 90.00
_cell_angle_gamma 90.00
loop_
_atom_site_label
_atom_site_type_symbol
_atom_site_fract_x
_atom_site_fract_y
_atom_site_fract_z
Nb1 Nb 0.000 0.000 0.500
Hg1 Hg 0.500 0.500 0.500
N1 N 0.000 0.000 0.000
```

## Properties
Energy relative to the elements, uncorrected: -0.3517 eV per atom
Total DFT energy (no corrections): -8.12 eV/atom

---

Entry 6:
A relaxed TiSnIO2 crystal, computed with PBE.

Cell and atoms, written as CIF:
```
data_TiSnIO2
_symmetry_space_group_name_H-M 'P 4/m m m'
_symmetry_Int_Tables_number 123
_symmetry_space_group_name_Hall '-P 4 2'
_cell_length_a 4.138
_cell_length_b 4.138
_cell_length_c 5.563
_cell_angle_alpha 90.00
_cell_angle_beta 90.00
_cell_angle_gamma 90.00
loop_
_atom_site_label
_atom_site_type_symbol
_atom_site_fract_x
_atom_site_fract_y
_atom_site_fract_z
Ti1 Ti 0.000 0.000 0.000
Sn1 Sn 0.500 0.500 0.500
I1 I 0.000 0.000 0.500
O1 O 0.000 0.500 0.000
```

## Properties
Energy relative to the elements, uncorrected: -0.9803 eV per atom
Polymorph energy (0 for the lowest one): 0.000 eV/atom
Total DFT energy (no corrections): -5.65 eV/atom